Sb3OsPd: relaxed, PBE-GGA.

Raw formation energy, eV per atom: 0.777
Relative energy among the computed polymorphs, meV/atom: 0

Cell and atoms, written as CIF:
```
data_Sb3OsPd
_space_group_name_H-M_alt 'P m -3 m'
_space_group_IT_number 221
_space_group_name_Hall '-P 4 2 3'
_cell_length_a 5.110
_cell_length_b 5.110
_cell_length_c 5.110
_cell_angle_alpha 90.00
_cell_angle_beta 90.00
_cell_angle_gamma 90.00
loop_
_atom_site_label
_atom_site_type_symbol
_atom_site_fract_x
_atom_site_fract_y
_atom_site_fract_z
Sb1 Sb 0.000 0.000 0.500
Os1 Os 0.000 0.000 0.000
Pd1 Pd 0.500 0.500 0.500
```